DFT (GGA-PBE) results for ThBeAg after structural relaxation.

## Properties
total DFT energy (no corrections)	-13.246	eV for the cell shown
space group	F-43m
energy above the most stable polymorph in this dataset	0	kJ/mol of formula units
crystal system	cubic
total moment	0.0	μB per formula unit

Cell lengths 4.537, 4.537, 4.537 Å; angles 60.00, 60.00, 60.00 degrees
Fractional positions:
Ag 0.250 0.250 0.250
Be 0.000 0.000 0.000
Th 0.750 0.750 0.750

---

DFT (GGA-PBE) results for YCuGePd after structural relaxation.

## Properties
total DFT energy (no corrections)	-22.073	eV for the cell shown
space group	F-43m
energy above the most stable polymorph in this dataset	0	kJ/mol of formula units
crystal system	cubic
total moment	0.0	μB per formula unit

Cell lengths 4.639, 4.639, 4.639 Å; angles 60.00, 60.00, 60.00 degrees
Fractional positions:
Cu 0.750 0.750 0.750
Ge 0.000 0.000 0.000
Pd 0.250 0.250 0.250
Y 0.500 0.500 0.500